# 1
VASP calculation (GGA-PBEsol) on crystalline Cs2TiP4O13 at its relaxed geometry.

Unit cell a=5.1714 b=8.0453 c=15.6797 alpha=84.54 beta=83.74 gamma=80.36
With the nearest neighbours (Å) after each atom.
Fractional coordinates of all 40 atoms:
Cs1 0.6838 0.7439 0.9894  6 O 3.03-3.31
Cs2 0.3162 0.2561 0.0106  6 O 3.03-3.31
Cs3 0.2695 0.3065 0.5283  6 O 2.94-3.17
Cs4 0.7305 0.6935 0.4717  6 O 2.94-3.17
Ti1 0.4505 0.0616 0.2607  6 O 1.92-1.97
Ti2 0.5495 0.9384 0.7393  6 O 1.92-1.97
P1 0.8786 0.2266 0.3521  4 O 1.49-1.63
P2 0.1214 0.7734 0.6479  4 O 1.49-1.63
P3 0.6692 0.4094 0.1940  4 O 1.48-1.61
P4 0.3308 0.5906 0.8060  4 O 1.48-1.61
P5 0.3184 0.6782 0.2882  4 O 1.47-1.61
P6 0.6816 0.3218 0.7118  4 O 1.47-1.61
P7 0.0276 0.9038 0.1626  4 O 1.49-1.64
P8 0.9724 0.0962 0.8374  4 O 1.49-1.64
O1 0.7104 0.0927 0.3346  1 P 1.55
O2 0.2896 0.9073 0.6654  1 P 1.55
O3 0.7908 0.3109 0.4330  1 P 1.49
O4 0.2092 0.6891 0.5670  1 P 1.49
O5 0.8569 0.3661 0.2696  2 P 1.59-1.63
O6 0.1431 0.6339 0.7304  2 P 1.59-1.63
O7 0.1716 0.1467 0.3465  1 P 1.54
O8 0.8284 0.8533 0.6535  1 P 1.54
O9 0.5163 0.5956 0.2115  2 P 1.61
O10 0.4837 0.4044 0.7885  2 P 1.61
O11 0.8144 0.4215 0.1076  1 P 1.48
O12 0.1856 0.5785 0.8924  1 P 1.48
O13 0.4652 0.2891 0.2079  1 P 1.53
O14 0.5348 0.7109 0.7921  1 P 1.53
O15 0.4401 0.8298 0.3085  1 P 1.54
O16 0.5599 0.1702 0.6915  1 P 1.54
O17 0.0616 0.7525 0.2407  2 P 1.59-1.64
O18 0.9384 0.2475 0.7593  2 P 1.59-1.64
O19 0.2613 0.5573 0.3618  1 P 1.47
O20 0.7387 0.4427 0.6382  1 P 1.47
O21 0.1255 0.8367 0.0780  1 P 1.49
O22 0.8745 0.1633 0.9220  1 P 1.49
O23 0.7315 0.9728 0.1734  1 P 1.54
O24 0.2685 0.0272 0.8266  1 P 1.54
O25 0.1875 0.0367 0.1872  1 P 1.56
O26 0.8125 0.9633 0.8128  1 P 1.56

* symmetry: P-1 (2)
* V: 637 Å³/cell
* total energy: -7.48 eV per atom
* energy relative to the elements, uncorrected: -2.396 eV/atom
* magnetization: 0.00 μB per cell

# 2
VASP calculation (GGA-PBEsol) on crystalline Cs2TiP2O8 at its relaxed geometry.

Unit cell a=7.2762 b=9.6260 c=13.3420 alpha=90.00 beta=90.00 gamma=90.00
With the nearest neighbours (Å) after each atom.
Fractional coordinates of all 52 atoms:
Cs1 0.7500 0.0915 0.6043  6 O 3.01-3.33
Cs2 0.2500 0.1271 0.0895  3 O 2.94-3.03
Cs3 0.7500 0.8729 0.9105  3 O 2.94-3.03
Cs4 0.7500 0.4085 0.1043  6 O 3.01-3.33
Cs5 0.7500 0.6271 0.4105  3 O 2.94-3.03
Cs6 0.2500 0.5915 0.8957  6 O 3.01-3.33
Cs7 0.2500 0.3729 0.5895  3 O 2.94-3.03
Cs8 0.2500 0.9085 0.3957  6 O 3.01-3.33
Ti1 0.7500 0.5219 0.7097  1 O 1.66
Ti2 0.7500 0.9781 0.2097  1 O 1.66
Ti3 0.2500 0.4781 0.2903  1 O 1.66
Ti4 0.2500 0.0219 0.7903  1 O 1.66
P1 0.0466 0.7236 0.1541  4 O 1.49-1.63
P2 0.4534 0.7236 0.1541  4 O 1.49-1.63
P3 0.5466 0.2236 0.3459  4 O 1.49-1.63
P4 0.9534 0.2764 0.8459  4 O 1.49-1.63
P5 0.5466 0.2764 0.8459  4 O 1.49-1.63
P6 0.4534 0.7764 0.6541  4 O 1.49-1.63
P7 0.0466 0.7764 0.6541  4 O 1.49-1.63
P8 0.9534 0.2236 0.3459  4 O 1.49-1.63
O1 0.0650 0.9096 0.7177  1 P 1.54
O2 0.7500 0.4583 0.5938  1 Ti 1.66
O3 0.5630 0.6694 0.7156  1 P 1.54
O4 0.4816 0.3030 0.9504  1 P 1.49
O5 0.2500 0.9583 0.9062  1 Ti 1.66
O6 0.5630 0.8306 0.2156  1 P 1.54
O7 0.7500 0.2946 0.3472  2 P 1.63
O8 0.4370 0.3306 0.2844  1 P 1.54
O9 0.9350 0.4096 0.7823  1 P 1.54
O10 0.5184 0.8030 0.5496  1 P 1.49
O11 0.5650 0.4096 0.7823  1 P 1.54
O12 0.4816 0.1970 0.4504  1 P 1.49
O13 0.2500 0.7946 0.1528  2 P 1.63
O14 0.5650 0.0904 0.2823  1 P 1.54
O15 0.0630 0.1694 0.7844  1 P 1.54
O16 0.9370 0.6694 0.7156  1 P 1.54
O17 0.7500 0.0417 0.0938  1 Ti 1.66
O18 0.0184 0.3030 0.9504  1 P 1.49
O19 0.0630 0.3306 0.2844  1 P 1.54
O20 0.9816 0.6970 0.0496  1 P 1.49
O21 0.9816 0.8030 0.5496  1 P 1.49
O22 0.5184 0.6970 0.0496  1 P 1.49
O23 0.4350 0.5904 0.2177  1 P 1.54
O24 0.2500 0.7054 0.6528  2 P 1.63
O25 0.4370 0.1694 0.7844  1 P 1.54
O26 0.9370 0.8306 0.2156  1 P 1.54
O27 0.7500 0.2054 0.8472  2 P 1.63
O28 0.9350 0.0904 0.2823  1 P 1.54
O29 0.2500 0.5417 0.4062  1 Ti 1.66
O30 0.0650 0.5904 0.2177  1 P 1.54
O31 0.0184 0.1970 0.4504  1 P 1.49
O32 0.4350 0.9096 0.7177  1 P 1.54

* symmetry: Pnma (62)
* V: 934 Å³/cell
* total energy: -7.39 eV per atom
* energy relative to the elements, uncorrected: -2.480 eV/atom
* magnetization: 0.00 μB per cell

# 3
VASP calculation (GGA-PBEsol) on crystalline Cs2UP2O9 at its relaxed geometry.

Unit cell a=6.1607 b=12.6270 c=12.7881 alpha=90.00 beta=90.00 gamma=90.00
With the nearest neighbours (Å) after each atom.
Fractional coordinates of all 56 atoms:
Cs1 0.5153 0.5000 0.3227  10 O 3.05-3.39
Cs2 0.5090 0.1786 0.5000  5 O 3.01-3.34
Cs3 0.4847 0.0000 0.1773  10 O 3.05-3.39
Cs4 0.4847 0.0000 0.8227  10 O 3.05-3.39
Cs5 0.4910 0.3214 0.0000  5 O 3.01-3.34
Cs6 0.5090 0.8214 0.5000  5 O 3.01-3.34
Cs7 0.5153 0.5000 0.6773  10 O 3.05-3.39
Cs8 0.4910 0.6786 0.0000  5 O 3.01-3.34
U1 0.0000 0.7500 0.2500  2 O 1.81
U2 0.0000 0.2500 0.7500  2 O 1.81
U3 0.0000 0.2500 0.2500  2 O 1.81
U4 0.0000 0.7500 0.7500  2 O 1.81
P1 0.9914 0.0000 0.6175  4 O 1.49-1.63
P2 0.0086 0.5000 0.8825  4 O 1.49-1.63
P3 0.0146 0.6192 0.5000  4 O 1.49-1.63
P4 0.0146 0.3808 0.5000  4 O 1.49-1.63
P5 0.9854 0.8808 0.0000  4 O 1.49-1.63
P6 0.9854 0.1192 0.0000  4 O 1.49-1.63
P7 0.0086 0.5000 0.1175  4 O 1.49-1.63
P8 0.9914 0.0000 0.3825  4 O 1.49-1.63
O1 0.7492 0.0000 0.6162  1 P 1.49
O2 0.7233 0.2025 0.7624  1 U 1.81
O3 0.0874 0.0000 0.0000  2 P 1.63
O4 0.7433 0.8828 0.0000  1 P 1.49
O5 0.9002 0.4007 0.1662  1 P 1.55
O6 0.7433 0.1172 0.0000  1 P 1.49
O7 0.9076 0.5000 0.0000  2 P 1.63
O8 0.2567 0.6172 0.5000  1 P 1.49
O9 0.0998 0.9007 0.3338  1 P 1.55
O10 0.0998 0.0993 0.3338  1 P 1.55
O11 0.0933 0.1704 0.0972  1 P 1.55
O12 0.7233 0.7975 0.2376  1 U 1.81
O13 0.9067 0.3296 0.5972  1 P 1.55
O14 0.9067 0.3296 0.4028  1 P 1.55
O15 0.0933 0.8296 0.0972  1 P 1.55
O16 0.0933 0.8296 0.9028  1 P 1.55
O17 0.9002 0.4007 0.8338  1 P 1.55
O18 0.9067 0.6704 0.4028  1 P 1.55
O19 0.7233 0.7975 0.7624  1 U 1.81
O20 0.2767 0.7025 0.2624  1 U 1.81
O21 0.2567 0.3828 0.5000  1 P 1.49
O22 0.0933 0.1704 0.9028  1 P 1.55
O23 0.2767 0.7025 0.7376  1 U 1.81
O24 0.2767 0.2975 0.2624  1 U 1.81
O25 0.2508 0.5000 0.1162  1 P 1.49
O26 0.9067 0.6704 0.5972  1 P 1.55
O27 0.9002 0.5993 0.1662  1 P 1.55
O28 0.2508 0.5000 0.8838  1 P 1.49
O29 0.7233 0.2025 0.2376  1 U 1.81
O30 0.9002 0.5993 0.8338  1 P 1.55
O31 0.0998 0.0993 0.6662  1 P 1.55
O32 0.9126 0.5000 0.5000  2 P 1.63
O33 0.0924 0.0000 0.5000  2 P 1.63
O34 0.0998 0.9007 0.6662  1 P 1.55
O35 0.7492 0.0000 0.3838  1 P 1.49
O36 0.2767 0.2975 0.7376  1 U 1.81

* symmetry: Pmmn (59)
* V: 995 Å³/cell
* total energy: -7.76 eV per atom
* energy relative to the elements, uncorrected: -2.556 eV/atom
* magnetization: 0.00 μB per cell

# 4
VASP calculation (GGA-PBEsol) on crystalline CsVPO5 at its relaxed geometry.

Unit cell a=7.3338 b=7.6818 c=9.7109 alpha=90.00 beta=90.00 gamma=90.00
With the nearest neighbours (Å) after each atom.
Fractional coordinates of all 32 atoms:
Cs1 0.1303 0.6355 0.3389  9 O 3.05-3.36
Cs2 0.3697 0.3645 0.8389  9 O 3.05-3.36
Cs3 0.6303 0.8645 0.6611  9 O 3.05-3.36
Cs4 0.8697 0.1355 0.1611  9 O 3.05-3.36
V1 0.1109 0.0685 0.5375  1 O 1.61
V2 0.3891 0.9315 0.0375  1 O 1.61
V3 0.6109 0.4315 0.4625  1 O 1.61
V4 0.8891 0.5685 0.9625  1 O 1.61
P1 0.3426 0.1370 0.3426  4 O 1.53-1.57
P2 0.1574 0.8630 0.8426  4 O 1.53-1.57
P3 0.8426 0.3630 0.6574  4 O 1.53-1.57
P4 0.6574 0.6370 0.1574  4 O 1.53-1.57
O1 0.3442 0.9927 0.4569  1 P 1.57
O2 0.1558 0.0073 0.9569  1 P 1.57
O3 0.8442 0.5073 0.5431  1 P 1.57
O4 0.6558 0.4927 0.0431  1 P 1.57
O5 0.9462 0.9582 0.4706  1 V 1.61
O6 0.5538 0.0418 0.9706  1 V 1.61
O7 0.4462 0.5418 0.5294  1 V 1.61
O8 0.0538 0.4582 0.0294  1 V 1.61
O9 0.0156 0.2500 0.6589  1 P 1.54
O10 0.4844 0.7500 0.1589  1 P 1.54
O11 0.5156 0.2500 0.3411  1 P 1.54
O12 0.9844 0.7500 0.8411  1 P 1.54
O13 0.1715 0.2424 0.3922  1 P 1.57
O14 0.3285 0.7576 0.8922  1 P 1.57
O15 0.6715 0.2576 0.6078  1 P 1.57
O16 0.8285 0.7424 0.1078  1 P 1.57
O17 0.1905 0.9405 0.6998  1 P 1.53
O18 0.3095 0.0595 0.1998  1 P 1.53
O19 0.6905 0.5595 0.3002  1 P 1.53
O20 0.8095 0.4405 0.8002  1 P 1.53

* symmetry: P2_12_12_1 (19)
* V: 547 Å³/cell
* total energy: -7.66 eV per atom
* energy relative to the elements, uncorrected: -2.337 eV/atom
* magnetization: 4.00 μB per cell